[1]
A plane-wave DFT calculation with PBE was carried out for crystalline HfMn2Os2 at its relaxed geometry.

a b c (Å): 7.250 7.250 2.718
angles (deg): 90.00 90.00 90.00
Positions (direct):
Hf: 0.000 0.000 0.000
Hf: 0.500 0.500 0.000
Mn: 0.119 0.381 0.000
Mn: 0.381 0.881 0.000
Mn: 0.619 0.119 0.000
Mn: 0.881 0.619 0.000
Os: 0.173 0.673 0.500
Os: 0.327 0.173 0.500
Os: 0.673 0.827 0.500
Os: 0.827 0.327 0.500

Its density of states at the Fermi level is 1.009 states/eV/atom. Its calculated formation energy is -0.03 eV/atom. For the magnetic moment, the calculation gives 0.000 μB/f.u. The total energy is -10.18 eV/atom. As for the energy above the most stable polymorph in this dataset: 0 meV/atom. The crystal system is tetragonal.

[2]
A plane-wave DFT calculation with PBE was carried out for crystalline Hf6MnOs at its relaxed geometry.

a b c (Å): 5.946 5.946 6.011
angles (deg): 102.51 102.51 118.97
Positions (direct):
Hf: 0.043 0.436 0.245
Hf: 0.245 0.245 0.760
Hf: 0.436 0.043 0.245
Hf: 0.564 0.957 0.755
Hf: 0.755 0.755 0.240
Hf: 0.957 0.564 0.755
Mn: 0.000 0.000 0.000
Os: 0.500 0.500 0.500

Its density of states at the Fermi level is 0.915 states/eV/atom. Its calculated formation energy is 0.16 eV/atom. For the magnetic moment, the calculation gives 0.000 μB/f.u. The total energy is -9.85 eV/atom. The crystal system is monoclinic.

[3]
A plane-wave DFT calculation with PBE was carried out for crystalline Hf3MnOs at its relaxed geometry.

a b c (Å): 4.644 4.644 4.644
angles (deg): 90.00 90.00 90.00
Positions (direct):
Hf: 0.000 0.000 0.500
Hf: 0.000 0.500 0.000
Hf: 0.500 0.000 0.000
Mn: 0.000 0.000 0.000
Os: 0.500 0.500 0.500

Its density of states at the Fermi level is 0.820 states/eV/atom. Its calculated formation energy is 0.64 eV/atom. For the magnetic moment, the calculation gives 0.000 μB/f.u. The total energy is -9.41 eV/atom. As for the energy above the most stable polymorph in this dataset: 0 meV/atom. The crystal system is cubic.

[4]
A plane-wave DFT calculation with PBE was carried out for crystalline Hf4MnOs2 at its relaxed geometry.

a b c (Å): 5.550 5.550 5.550
angles (deg): 109.40 109.40 109.62
Positions (direct):
Hf: 0.000 0.000 0.500
Hf: 0.000 0.500 0.000
Hf: 0.500 0.000 0.000
Hf: 0.500 0.500 0.500
Mn: 0.000 0.000 0.000
Os: 0.000 0.500 0.500
Os: 0.500 0.000 0.500

Its density of states at the Fermi level is 1.011 states/eV/atom. Its calculated formation energy is -0.31 eV/atom. For the magnetic moment, the calculation gives 0.032 μB/f.u. The total energy is -10.52 eV/atom. The crystal system is tetragonal.

[5]
A plane-wave DFT calculation with PBE was carried out for crystalline HfMn2Os2 at its relaxed geometry.

a b c (Å): 5.863 5.863 5.863
angles (deg): 141.15 141.15 56.12
Positions (direct):
Hf: 0.000 0.000 0.000
Mn: 0.250 0.750 0.500
Mn: 0.750 0.250 0.500
Os: 0.384 0.384 0.000
Os: 0.616 0.616 0.000

Its density of states at the Fermi level is 0.788 states/eV/atom. Its calculated formation energy is 0.07 eV/atom. For the magnetic moment, the calculation gives 0.000 μB/f.u. The total energy is -10.09 eV/atom. As for the energy above the most stable polymorph in this dataset: 91 meV/atom. The crystal system is tetragonal.

[6]
A plane-wave DFT calculation with PBE was carried out for crystalline Hf5Mn4Os at its relaxed geometry.

a b c (Å): 3.190 3.190 15.939
angles (deg): 90.00 90.00 90.00
Positions (direct):
Hf: 0.000 0.000 0.000
Hf: 0.000 0.000 0.198
Hf: 0.000 0.000 0.396
Hf: 0.000 0.000 0.604
Hf: 0.000 0.000 0.802
Mn: 0.500 0.500 0.098
Mn: 0.500 0.500 0.296
Mn: 0.500 0.500 0.704
Mn: 0.500 0.500 0.902
Os: 0.500 0.500 0.500

Its density of states at the Fermi level is 1.045 states/eV/atom. Its calculated formation energy is -0.25 eV/atom. For the magnetic moment, the calculation gives 3.104 μB/f.u. The total energy is -10.02 eV/atom. The crystal system is tetragonal.

[7]
A plane-wave DFT calculation with PBE was carried out for crystalline Hf2MnOs at its relaxed geometry.

a b c (Å): 5.936 5.936 5.936
angles (deg): 151.39 131.33 57.44
Positions (direct):
Hf: 0.245 0.245 0.000
Hf: 0.755 0.755 0.000
Mn: 0.500 0.500 0.000
Os: 0.000 0.000 0.000

Its density of states at the Fermi level is 1.075 states/eV/atom. Its calculated formation energy is 0.67 eV/atom. For the magnetic moment, the calculation gives 2.837 μB/f.u. The total energy is -9.40 eV/atom. The crystal system is orthorhombic.

[8]
A plane-wave DFT calculation with PBE was carried out for crystalline HfMnOs2 at its relaxed geometry.

a b c (Å): 5.686 5.686 5.686
angles (deg): 101.45 101.45 127.08
Positions (direct):
Hf: 0.000 0.000 0.000
Hf: 0.750 0.250 0.500
Mn: 0.250 0.750 0.500
Mn: 0.500 0.500 0.000
Os: 0.184 0.125 0.559
Os: 0.375 0.816 0.941
Os: 0.566 0.625 0.441
Os: 0.875 0.434 0.059

Its density of states at the Fermi level is 1.278 states/eV/atom. Its calculated formation energy is 0.39 eV/atom. For the magnetic moment, the calculation gives 0.000 μB/f.u. The total energy is -10.00 eV/atom. The crystal system is tetragonal.

[9]
A plane-wave DFT calculation with PBE was carried out for crystalline Hf3MnOs at its relaxed geometry.

a b c (Å): 4.958 4.958 4.958
angles (deg): 90.00 90.00 90.00
Positions (direct):
Hf: 0.000 0.000 0.500
Hf: 0.000 0.500 0.000
Hf: 0.500 0.000 0.000
Mn: 0.500 0.500 0.500
Os: 0.000 0.000 0.000

Its density of states at the Fermi level is 2.078 states/eV/atom. Its calculated formation energy is 1.01 eV/atom. For the magnetic moment, the calculation gives 0.459 μB/f.u. The total energy is -9.04 eV/atom. As for the energy above the most stable polymorph in this dataset: 368 meV/atom. The crystal system is cubic.

[10]
A plane-wave DFT calculation with PBE was carried out for crystalline HfMn2Os2 at its relaxed geometry.

a b c (Å): 7.329 7.329 2.693
angles (deg): 90.00 90.00 90.00
Positions (direct):
Hf: 0.000 0.000 0.000
Hf: 0.500 0.500 0.000
Mn: 0.169 0.331 0.500
Mn: 0.331 0.831 0.500
Mn: 0.669 0.169 0.500
Mn: 0.831 0.669 0.500
Os: 0.127 0.627 0.000
Os: 0.373 0.127 0.000
Os: 0.627 0.873 0.000
Os: 0.873 0.373 0.000

Its density of states at the Fermi level is 1.213 states/eV/atom. Its calculated formation energy is 0.05 eV/atom. For the magnetic moment, the calculation gives 0.312 μB/f.u. The total energy is -10.10 eV/atom. As for the energy above the most stable polymorph in this dataset: 72 meV/atom. The crystal system is tetragonal.

[11]
A plane-wave DFT calculation with PBE was carried out for crystalline Hf2MnOs at its relaxed geometry.

a b c (Å): 4.544 4.544 4.544
angles (deg): 60.00 60.00 60.00
Positions (direct):
Hf: 0.250 0.250 0.250
Hf: 0.750 0.750 0.750
Mn: 0.000 0.000 0.000
Os: 0.500 0.500 0.500

Its density of states at the Fermi level is 0.823 states/eV/atom. Its calculated formation energy is -0.44 eV/atom. For the magnetic moment, the calculation gives 0.575 μB/f.u. The total energy is -10.51 eV/atom. The crystal system is cubic.

[12]
A plane-wave DFT calculation with PBE was carried out for crystalline Hf5MnOs4 at its relaxed geometry.

a b c (Å): 3.232 3.232 16.237
angles (deg): 90.00 90.00 90.00
Positions (direct):
Hf: 0.000 0.000 0.000
Hf: 0.000 0.000 0.203
Hf: 0.000 0.000 0.405
Hf: 0.000 0.000 0.595
Hf: 0.000 0.000 0.797
Mn: 0.500 0.500 0.500
Os: 0.500 0.500 0.101
Os: 0.500 0.500 0.302
Os: 0.500 0.500 0.698
Os: 0.500 0.500 0.899

Its density of states at the Fermi level is 0.279 states/eV/atom. Its calculated formation energy is -0.60 eV/atom. For the magnetic moment, the calculation gives 0.267 μB/f.u. The total energy is -10.99 eV/atom. The crystal system is tetragonal.

[13]
A plane-wave DFT calculation with PBE was carried out for crystalline Hf2MnOs at its relaxed geometry.

a b c (Å): 3.211 3.211 6.436
angles (deg): 90.00 90.00 90.00
Positions (direct):
Hf: 0.000 0.000 0.244
Hf: 0.000 0.000 0.756
Mn: 0.500 0.500 0.000
Os: 0.500 0.500 0.500

Its density of states at the Fermi level is 0.525 states/eV/atom. Its calculated formation energy is -0.43 eV/atom. For the magnetic moment, the calculation gives 0.596 μB/f.u. The total energy is -10.51 eV/atom. The crystal system is tetragonal.

[14]
A plane-wave DFT calculation with PBE was carried out for crystalline Hf2Mn2Os at its relaxed geometry.

a b c (Å): 6.208 6.208 4.179
angles (deg): 90.00 90.00 90.00
Positions (direct):
Hf: 0.183 0.317 0.000
Hf: 0.317 0.817 0.000
Hf: 0.683 0.183 0.000
Hf: 0.817 0.683 0.000
Mn: 0.117 0.617 0.500
Mn: 0.383 0.117 0.500
Mn: 0.617 0.883 0.500
Mn: 0.883 0.383 0.500
Os: 0.000 0.000 0.500
Os: 0.500 0.500 0.500

Its density of states at the Fermi level is 1.465 states/eV/atom. Its calculated formation energy is -0.15 eV/atom. For the magnetic moment, the calculation gives 0.000 μB/f.u. The total energy is -10.05 eV/atom. The crystal system is tetragonal.

[15]
A plane-wave DFT calculation with PBE was carried out for crystalline Hf2MnOs2 at its relaxed geometry.

a b c (Å): 6.334 6.334 4.306
angles (deg): 90.00 90.00 90.00
Positions (direct):
Hf: 0.178 0.322 0.000
Hf: 0.322 0.822 0.000
Hf: 0.678 0.178 0.000
Hf: 0.822 0.678 0.000
Mn: 0.000 0.000 0.500
Mn: 0.500 0.500 0.500
Os: 0.142 0.642 0.500
Os: 0.358 0.142 0.500
Os: 0.642 0.858 0.500
Os: 0.858 0.358 0.500

Its density of states at the Fermi level is 1.024 states/eV/atom. Its calculated formation energy is -0.14 eV/atom. For the magnetic moment, the calculation gives 0.000 μB/f.u. The total energy is -10.45 eV/atom. The crystal system is tetragonal.

[16]
A plane-wave DFT calculation with PBE was carried out for crystalline Hf2MnOs at its relaxed geometry.

a b c (Å): 5.859 5.859 5.859
angles (deg): 103.92 103.92 121.26
Positions (direct):
Hf: 0.113 0.625 0.988
Hf: 0.375 0.363 0.488
Hf: 0.637 0.125 0.012
Hf: 0.875 0.887 0.512
Mn: 0.250 0.750 0.500
Mn: 0.500 0.500 0.000
Os: 0.000 0.000 0.000
Os: 0.750 0.250 0.500

Its density of states at the Fermi level is 1.136 states/eV/atom. Its calculated formation energy is 0.32 eV/atom. For the magnetic moment, the calculation gives 2.504 μB/f.u. The total energy is -9.76 eV/atom. The crystal system is tetragonal.

[17]
A plane-wave DFT calculation with PBE was carried out for crystalline PuHfMnOs at its relaxed geometry.

a b c (Å): 4.670 4.670 4.670
angles (deg): 60.00 60.00 60.00
Positions (direct):
Pu: 0.000 0.000 0.000
Hf: 0.500 0.500 0.500
Mn: 0.250 0.250 0.250
Os: 0.750 0.750 0.750

Its density of states at the Fermi level is 1.158 states/eV/atom. Its calculated formation energy is -0.15 eV/atom. For the magnetic moment, the calculation gives 2.610 μB/f.u. The total energy is -11.32 eV/atom. The crystal system is cubic.

[18]
A plane-wave DFT calculation with PBE was carried out for crystalline HfMnTc2Os at its relaxed geometry.

a b c (Å): 4.646 4.646 4.897
angles (deg): 90.00 90.00 90.00
Positions (direct):
Hf: 0.000 0.000 0.000
Mn: 0.500 0.500 0.000
Tc: 0.000 0.500 0.500
Tc: 0.500 0.000 0.500
Os: 0.000 0.000 0.500

Its density of states at the Fermi level is 1.595 states/eV/atom. Its calculated formation energy is 1.69 eV/atom. For the magnetic moment, the calculation gives 0.558 μB/f.u. The total energy is -8.52 eV/atom. The crystal system is tetragonal.

[19]
A plane-wave DFT calculation with PBE was carried out for crystalline HfMnTcOs2 at its relaxed geometry.

a b c (Å): 4.383 4.383 4.594
angles (deg): 90.00 90.00 90.00
Positions (direct):
Hf: 0.000 0.000 0.000
Mn: 0.000 0.000 0.500
Tc: 0.500 0.500 0.000
Os: 0.000 0.500 0.500
Os: 0.500 0.000 0.500

Its density of states at the Fermi level is 1.213 states/eV/atom. Its calculated formation energy is 1.18 eV/atom. For the magnetic moment, the calculation gives 1.625 μB/f.u. The total energy is -9.21 eV/atom. The crystal system is tetragonal.

[20]
A plane-wave DFT calculation with PBE was carried out for crystalline TmHfMnOs at its relaxed geometry.

a b c (Å): 4.675 4.675 4.675
angles (deg): 60.00 60.00 60.00
Positions (direct):
Tm: 0.000 0.000 0.000
Hf: 0.500 0.500 0.500
Mn: 0.750 0.750 0.750
Os: 0.250 0.250 0.250

Its density of states at the Fermi level is 1.259 states/eV/atom. Its calculated formation energy is -0.17 eV/atom. For the magnetic moment, the calculation gives 2.110 μB/f.u. The total energy is -8.88 eV/atom. The crystal system is cubic.

[21]
A plane-wave DFT calculation with PBE was carried out for crystalline HfMnVOs at its relaxed geometry.

a b c (Å): 4.369 4.369 4.369
angles (deg): 60.00 60.00 60.00
Positions (direct):
Hf: 0.000 0.000 0.000
Mn: 0.250 0.250 0.250
V: 0.500 0.500 0.500
Os: 0.750 0.750 0.750

Its density of states at the Fermi level is 0.437 states/eV/atom. Its calculated formation energy is -0.30 eV/atom. For the magnetic moment, the calculation gives 0.000 μB/f.u. The total energy is -10.16 eV/atom. The crystal system is cubic.

[22]
A plane-wave DFT calculation with PBE was carried out for crystalline HfZrMn2Os at its relaxed geometry.

a b c (Å): 4.479 4.479 4.953
angles (deg): 90.00 90.00 90.00
Positions (direct):
Hf: 0.000 0.000 0.000
Zr: 0.500 0.500 0.000
Mn: 0.000 0.500 0.500
Mn: 0.500 0.000 0.500
Os: 0.500 0.500 0.500

Its density of states at the Fermi level is 1.958 states/eV/atom. Its calculated formation energy is 1.03 eV/atom. For the magnetic moment, the calculation gives 0.001 μB/f.u. The total energy is -8.58 eV/atom. The crystal system is tetragonal.

[23]
A plane-wave DFT calculation with PBE was carried out for crystalline HfMn2P2 at its relaxed geometry.

a b c (Å): 6.808 6.808 2.798
angles (deg): 90.00 90.00 90.00
Positions (direct):
Hf: 0.000 0.000 0.000
Hf: 0.500 0.500 0.000
Mn: 0.137 0.363 0.500
Mn: 0.363 0.863 0.500
Mn: 0.637 0.137 0.500
Mn: 0.863 0.637 0.500
P: 0.146 0.646 0.000
P: 0.354 0.146 0.000
P: 0.646 0.854 0.000
P: 0.854 0.354 0.000

Its density of states at the Fermi level is 1.026 states/eV/atom. Its calculated formation energy is -0.42 eV/atom. For the magnetic moment, the calculation gives 0.410 μB/f.u. The total energy is -8.24 eV/atom. The crystal system is tetragonal.

[24]
A plane-wave DFT calculation with PBE was carried out for crystalline Hf2Mn12P7 at its relaxed geometry.

a b c (Å): 9.139 9.139 3.551
angles (deg): 90.00 90.00 120.00
Positions (direct):
Hf: 0.000 0.000 0.000
Hf: 0.333 0.667 0.500
Mn: 0.062 0.772 0.500
Mn: 0.095 0.384 0.000
Mn: 0.228 0.289 0.500
Mn: 0.289 0.905 0.000
Mn: 0.387 0.214 0.000
Mn: 0.540 0.103 0.500
Mn: 0.563 0.460 0.500
Mn: 0.616 0.711 0.000
Mn: 0.711 0.938 0.500
Mn: 0.786 0.173 0.000
Mn: 0.827 0.613 0.000
Mn: 0.897 0.437 0.500
P: 0.083 0.624 0.000
P: 0.254 0.052 0.500
P: 0.376 0.459 0.000
P: 0.541 0.917 0.000
P: 0.667 0.333 0.000
P: 0.799 0.746 0.500
P: 0.948 0.201 0.500

Its density of states at the Fermi level is 0.737 states/eV/atom. Its calculated formation energy is -0.69 eV/atom. For the magnetic moment, the calculation gives 14.950 μB/f.u. The total energy is -8.68 eV/atom. The crystal system is hexagonal.

[25]
A plane-wave DFT calculation with PBE was carried out for crystalline Hf3Mn4P4 at its relaxed geometry.

a b c (Å): 7.292 7.292 7.292
angles (deg): 151.22 124.77 63.47
Positions (direct):
Hf: 0.000 0.000 0.000
Hf: 0.380 0.880 0.500
Hf: 0.620 0.120 0.500
Mn: 0.019 0.322 0.697
Mn: 0.375 0.678 0.697
Mn: 0.625 0.322 0.303
Mn: 0.981 0.678 0.303
P: 0.222 0.222 0.000
P: 0.290 0.500 0.790
P: 0.710 0.500 0.210
P: 0.778 0.778 0.000

Its density of states at the Fermi level is 0.722 states/eV/atom. Its calculated formation energy is -0.90 eV/atom. For the magnetic moment, the calculation gives 5.614 μB/f.u. The total energy is -8.91 eV/atom. The crystal system is orthorhombic.